w:
VASP calculation (PBE) on K2CrP2 after structural relaxation. Values from VASP.

```
&SYSTEM
  ibrav = 0, nat = 10, ntyp = 3
/
ATOMIC_SPECIES
K 39.10 K.upf
Cr 52.00 Cr.upf
P 30.97 P.upf
CELL_PARAMETERS angstrom
6.415 0.000 0.000
0.000 6.415 0.000
0.000 0.000 5.472
ATOMIC_POSITIONS crystal
K 0.174 0.326 0.000
K 0.326 0.826 0.000
K 0.674 0.174 0.000
K 0.826 0.674 0.000
Cr 0.000 0.000 0.500
Cr 0.500 0.500 0.500
P 0.126 0.626 0.500
P 0.374 0.126 0.500
P 0.626 0.874 0.500
P 0.874 0.374 0.500
```

Properties
density of states at the Fermi level: 0.190 states/eV per atom

=====

x:
VASP calculation (PBE) on K2CrP2 after structural relaxation. Values from VASP.

```
&SYSTEM
  ibrav = 0, nat = 5, ntyp = 3
/
ATOMIC_SPECIES
K 39.10 K.upf
Cr 52.00 Cr.upf
P 30.97 P.upf
CELL_PARAMETERS angstrom
-2.125 2.125 6.672
2.125 -2.125 6.672
2.125 2.125 -6.672
ATOMIC_POSITIONS crystal
K 0.250 0.750 0.500
K 0.750 0.250 0.500
Cr 0.000 0.000 0.000
P 0.421 0.421 0.000
P 0.579 0.579 0.000
```

Properties
density of states at the Fermi level: 0.352 states/eV per atom

=====

Q: Which of them is the most stable? A: w.

=====

w:
VASP calculation (PBE) on KCrPS2 after structural relaxation. Values from VASP.

```
&SYSTEM
  ibrav = 0, nat = 5, ntyp = 4
/
ATOMIC_SPECIES
K 39.10 K.upf
Cr 52.00 Cr.upf
P 30.97 P.upf
S 32.06 S.upf
CELL_PARAMETERS angstrom
5.515 0.000 0.000
0.000 5.515 0.000
0.000 0.000 5.660
ATOMIC_POSITIONS crystal
K 0.000 0.000 0.000
Cr 0.500 0.500 0.500
P 0.000 0.000 0.500
S 0.000 0.500 0.000
S 0.500 0.000 0.000
```

Properties
density of states at the Fermi level: 1.172 states/eV per atom

=====

x:
VASP calculation (PBE) on KCrPS2 after structural relaxation. Values from VASP.

```
&SYSTEM
  ibrav = 0, nat = 5, ntyp = 4
/
ATOMIC_SPECIES
K 39.10 K.upf
Cr 52.00 Cr.upf
P 30.97 P.upf
S 32.06 S.upf
CELL_PARAMETERS angstrom
4.691 0.000 0.000
0.000 4.691 0.000
0.000 0.000 4.499
ATOMIC_POSITIONS crystal
K 0.000 0.000 0.000
Cr 0.500 0.500 0.500
P 0.500 0.500 0.000
S 0.000 0.500 0.500
S 0.500 0.000 0.500
```

Properties
density of states at the Fermi level: 0.897 states/eV per atom

=====

Q: Which of them is the most stable? A: x.

=====

w:
VASP calculation (PBE) on KCrPSe2 after structural relaxation. Values from VASP.

```
&SYSTEM
  ibrav = 0, nat = 5, ntyp = 4
/
ATOMIC_SPECIES
K 39.10 K.upf
Cr 52.00 Cr.upf
P 30.97 P.upf
Se 78.96 Se.upf
CELL_PARAMETERS angstrom
4.746 0.000 0.000
0.000 4.746 0.000
0.000 0.000 7.180
ATOMIC_POSITIONS crystal
K 0.000 0.000 0.000
Cr 0.000 0.000 0.500
P 0.500 0.500 0.000
Se 0.000 0.500 0.500
Se 0.500 0.000 0.500
```

Properties
density of states at the Fermi level: 0.784 states/eV per atom

=====

x:
VASP calculation (PBE) on KCrPSe2 after structural relaxation. Values from VASP.

```
&SYSTEM
  ibrav = 0, nat = 5, ntyp = 4
/
ATOMIC_SPECIES
K 39.10 K.upf
Cr 52.00 Cr.upf
P 30.97 P.upf
Se 78.96 Se.upf
CELL_PARAMETERS angstrom
5.428 0.000 0.000
0.000 5.428 0.000
0.000 0.000 5.011
ATOMIC_POSITIONS crystal
K 0.000 0.000 0.000
Cr 0.500 0.500 0.500
P 0.000 0.000 0.500
Se 0.000 0.500 0.000
Se 0.500 0.000 0.000
```

Properties
density of states at the Fermi level: 1.981 states/eV per atom

=====

Q: Which of them is the most stable? A: w.

=====

w:
VASP calculation (PBE) on KCr2Pd2 after structural relaxation. Values from VASP.

```
&SYSTEM
  ibrav = 0, nat = 10, ntyp = 3
/
ATOMIC_SPECIES
K 39.10 K.upf
Cr 52.00 Cr.upf
Pd 106.42 Pd.upf
CELL_PARAMETERS angstrom
7.946 0.000 0.000
0.000 7.946 0.000
0.000 0.000 2.759
ATOMIC_POSITIONS crystal
K 0.000 0.000 0.000
K 0.500 0.500 0.000
Cr 0.083 0.417 0.000
Cr 0.417 0.917 0.000
Cr 0.583 0.083 0.000
Cr 0.917 0.583 0.000
Pd 0.199 0.699 0.500
Pd 0.301 0.199 0.500
Pd 0.699 0.801 0.500
Pd 0.801 0.301 0.500
```

Properties
density of states at the Fermi level: 0.700 states/eV per atom

=====

x:
VASP calculation (PBE) on KCr2Pd2 after structural relaxation. Values from VASP.

```
&SYSTEM
  ibrav = 0, nat = 5, ntyp = 3
/
ATOMIC_SPECIES
K 39.10 K.upf
Cr 52.00 Cr.upf
Pd 106.42 Pd.upf
CELL_PARAMETERS angstrom
-2.310 2.310 4.412
2.310 -2.310 4.412
2.310 2.310 -4.412
ATOMIC_POSITIONS crystal
K 0.000 0.000 0.000
Cr 0.398 0.398 0.000
Cr 0.602 0.602 0.000
Pd 0.250 0.750 0.500
Pd 0.750 0.250 0.500
```

Properties
density of states at the Fermi level: 1.123 states/eV per atom

=====

y:
VASP calculation (PBE) on KCr2Pd2 after structural relaxation. Values from VASP.

```
&SYSTEM
  ibrav = 0, nat = 5, ntyp = 3
/
ATOMIC_SPECIES
K 39.10 K.upf
Cr 52.00 Cr.upf
Pd 106.42 Pd.upf
CELL_PARAMETERS angstrom
-1.620 1.620 9.153
1.620 -1.620 9.153
1.620 1.620 -9.153
ATOMIC_POSITIONS crystal
K 0.000 0.000 0.000
Cr 0.250 0.750 0.500
Cr 0.750 0.250 0.500
Pd 0.362 0.362 0.000
Pd 0.638 0.638 0.000
```

Properties
density of states at the Fermi level: 1.485 states/eV per atom

=====

Q: Which of them is the most stable? A: w.

=====

w:
VASP calculation (PBE) on KCr2Pd after structural relaxation. Values from VASP.

```
&SYSTEM
  ibrav = 0, nat = 4, ntyp = 3
/
ATOMIC_SPECIES
K 39.10 K.upf
Cr 52.00 Cr.upf
Pd 106.42 Pd.upf
CELL_PARAMETERS angstrom
0.000 3.177 3.177
3.177 0.000 3.177
3.177 3.177 0.000
ATOMIC_POSITIONS crystal
K 0.000 0.000 0.000
Cr 0.250 0.250 0.250
Cr 0.750 0.750 0.750
Pd 0.500 0.500 0.500
```

Properties
density of states at the Fermi level: 1.987 states/eV per atom

=====

x:
VASP calculation (PBE) on KCr2Pd after structural relaxation. Values from VASP.

```
&SYSTEM
  ibrav = 0, nat = 8, ntyp = 3
/
ATOMIC_SPECIES
K 39.10 K.upf
Cr 52.00 Cr.upf
Pd 106.42 Pd.upf
CELL_PARAMETERS angstrom
-2.797 2.797 8.537
2.797 -2.797 8.537
2.797 2.797 -8.537
ATOMIC_POSITIONS crystal
K 0.375 0.625 0.750
K 0.625 0.375 0.250
Cr 0.000 0.000 0.000
Cr 0.000 0.000 0.500
Cr 0.000 0.500 0.000
Cr 0.500 0.000 0.500
Pd 0.125 0.875 0.250
Pd 0.875 0.125 0.750
```

Properties
density of states at the Fermi level: 0.655 states/eV per atom

=====

Q: Which of them is the most stable? A: x.

=====

w:
VASP calculation (PBE) on KCr3Pd after structural relaxation. Values from VASP.

```
&SYSTEM
  ibrav = 0, nat = 5, ntyp = 3
/
ATOMIC_SPECIES
K 39.10 K.upf
Cr 52.00 Cr.upf
Pd 106.42 Pd.upf
CELL_PARAMETERS angstrom
5.111 0.000 0.000
0.000 5.111 0.000
0.000 0.000 5.111
ATOMIC_POSITIONS crystal
K 0.000 0.000 0.000
Cr 0.000 0.500 0.500
Cr 0.500 0.000 0.500
Cr 0.500 0.500 0.000
Pd 0.500 0.500 0.500
```

Properties
density of states at the Fermi level: 0.992 states/eV per atom

=====

x:
VASP calculation (PBE) on KCr3Pd after structural relaxation. Values from VASP.

```
&SYSTEM
  ibrav = 0, nat = 5, ntyp = 3
/
ATOMIC_SPECIES
K 39.10 K.upf
Cr 52.00 Cr.upf
Pd 106.42 Pd.upf
CELL_PARAMETERS angstrom
4.174 0.000 0.000
0.000 4.174 0.000
0.000 0.000 4.174
ATOMIC_POSITIONS crystal
K 0.000 0.000 0.000
Cr 0.000 0.000 0.500
Cr 0.000 0.500 0.000
Cr 0.500 0.000 0.000
Pd 0.500 0.500 0.500
```

Properties
density of states at the Fermi level: 0.831 states/eV per atom

=====

Q: Which of them is the most stable? A: w.